[1]
Density functional theory data (GGA-PBE) for SrTaSb2Ru after structural relaxation.

Values from the calculation:
As for the formation energy (no corrections): 2491 meV/atom. Its space group is P4/mmm, No. 123.

The structure in POSCAR format:
```
SrTaSb2Ru
1.0
5.647 0.000 0.000
0.000 5.647 0.000
0.000 0.000 5.204
Sr Ta Sb Ru
1 1 2 1
direct
0.000 0.000 0.000
0.000 0.000 0.500
0.000 0.500 0.000
0.500 0.000 0.000
0.500 0.500 0.500
```

=====

[2]
Density functional theory data (GGA-PBE) for SrPuPb2 after structural relaxation.

Values from the calculation:
The total DFT energy (no corrections) is -6.177 eV/atom. Its space group is P4/mmm, No. 123.

The structure in POSCAR format:
```
SrPuPb2
1.0
3.599 0.000 0.000
0.000 3.599 0.000
0.000 0.000 9.504
Sr Pu Pb
1 1 2
direct
0.000 0.000 0.000
0.000 0.000 0.500
0.500 0.500 0.261
0.500 0.500 0.739
```

=====

> Number 2 is which compound?

SrPuPb2

=====

> Which formula does entry 1 have?

SrTaSb2Ru